Material: VOF
Method: DFT, GGA+U
State: relaxed

Cell lengths 5.663, 4.637, 10.563 Å; angles 90.00, 96.34, 90.00 degrees
Space group P2_1/c (No. 14)
Inequivalent atoms, fractional coordinates:
V 0.121 0.022 0.361 [4 per cell]
V 0.373 0.020 0.112 [4 per cell]
O 0.104 0.200 0.194 [4 per cell]
O 0.364 0.212 0.946 [4 per cell]
F 0.143 0.703 0.041 [4 per cell]
F 0.393 0.703 0.789 [4 per cell]

## Properties
Electronic total energy = -7.15 eV/atom